1.
First-principles (PBE) data for a relaxed structure of Ta2TiRhO, as listed in Alexandria via LeMat-Bulk.

Cell lengths 4.236, 4.236, 4.033 Å; angles 90.00, 90.00, 90.00 degrees
Atoms (fractional coordinates):
Ta 0.000 0.500 0.000
Ta 0.500 0.000 0.000
Ti 0.000 0.000 0.500
Rh 0.500 0.500 0.500
O 0.000 0.000 0.000

Output
Space group = P4/mmm, No. 123
Final energy = -9.672 eV/atom
E above lowest polymorph = 0 meV/atom
M_tot = 0.00 μB per formula unit

2.
First-principles (PBE) data for a relaxed structure of Ba2TaCuO6, as listed in Alexandria via LeMat-Bulk.

Cell lengths 5.887, 5.887, 5.116 Å; angles 90.00, 90.00, 120.00 degrees
Atoms (fractional coordinates):
Ba 0.333 0.667 0.302
Ba 0.667 0.333 0.698
Ta 0.000 0.000 0.000
Cu 0.000 0.000 0.500
O 0.155 0.309 0.754
O 0.155 0.845 0.754
O 0.309 0.155 0.246
O 0.691 0.845 0.754
O 0.845 0.155 0.246
O 0.845 0.691 0.246

Output
Space group = P-3m1, No. 164
Final energy = -7.183 eV/atom
M_tot = 2.01 μB per formula unit

3.
First-principles (PBE) data for a relaxed structure of Pu5Pt4, as listed in Alexandria via LeMat-Bulk.

Cell lengths 4.795, 4.795, 8.781 Å; angles 90.00, 90.00, 120.00 degrees
Atoms (fractional coordinates):
Pu 0.000 0.000 0.000
Pu 0.333 0.667 0.126
Pu 0.333 0.667 0.441
Pu 0.667 0.333 0.559
Pu 0.667 0.333 0.874
Pt 0.000 0.000 0.333
Pt 0.000 0.000 0.667
Pt 0.333 0.667 0.782
Pt 0.667 0.333 0.218

Output
Space group = P-3m1, No. 164
Final energy = -11.235 eV/atom
Formation energy from the elements = -588 meV/atom
M_tot = 4.34 μB per formula unit

4.
First-principles (PBE) data for a relaxed structure of BaCaIn2Ir, as listed in Alexandria via LeMat-Bulk.

Cell lengths 5.296, 5.296, 5.435 Å; angles 90.00, 90.00, 90.00 degrees
Atoms (fractional coordinates):
Ba 0.000 0.000 0.000
Ca 0.500 0.500 0.000
In 0.000 0.500 0.500
In 0.500 0.000 0.500
Ir 0.500 0.500 0.500

Output
Space group = P4/mmm, No. 123
Final energy = -3.988 eV/atom
Formation energy from the elements = -336 meV/atom
M_tot = 0.00 μB per formula unit